(1)
K2AsRh: PBEsol geometry, meta-GGA SCAN.

Output
- Space-group type: No. 71
- Energy of formation from the pure elements: 228 meV/atom

Lattice parameters (Å, degrees): 5.8965 5.8965 5.8965 140.36 140.01 57.57
Closest atoms and distances in Å follow each position.
Element x y z (fractional)
K (0.2483, 0.2483, 0.0000)  4 K 2.84
K (0.7517, 0.7517, 0.0000)  4 K 2.84
As (0.5000, 0.0000, 0.5000)  4 Rh 2.84
Rh (0.0000, 0.5000, 0.5000)  4 As 2.84

=====

(2)
InH2Rh2: PBEsol geometry, meta-GGA SCAN.

Output
- Space-group type: No. 139
- Total DFT energy (no corrections): -108.76 eV/cell

Lattice parameters (Å, degrees): 5.7701 5.7701 5.7701 148.63 148.63 44.95
Closest atoms and distances in Å follow each position.
Element x y z (fractional)
In (0.0000, 0.0000, 0.0000)  8 Rh 2.74
H (0.2500, 0.7500, 0.5000)  4 Rh 1.87
H (0.7500, 0.2500, 0.5000)  4 Rh 1.87
Rh (0.3475, 0.3475, 0.0000)  4 H 1.87
Rh (0.6525, 0.6525, 0.0000)  4 H 1.87

=====

(3)
TeMoPb2: PBEsol geometry, meta-GGA SCAN.

Output
- Formation energy (no corrections): 0.649 eV per atom
- Space-group type: No. 47

Lattice parameters (Å, degrees): 3.5156 5.0869 5.4316 90.00 90.00 90.00
Closest atoms and distances in Å follow each position.
Element x y z (fractional)
Te (0.0000, 0.0000, 0.0000)  4 Mo 3.09, 4 Pb 3.24
Mo (0.5000, 0.5000, 0.0000)  4 Te 3.09, 4 Pb 3.24
Pb (0.0000, 0.5000, 0.5000)  4 Pb 3.09, 4 Mo 3.24
Pb (0.5000, 0.0000, 0.5000)  4 Pb 3.09, 4 Te 3.24

=====

(4)
Mo2OsPt: PBEsol geometry, meta-GGA SCAN.

Output
- Space-group type: No. 123
- Energy of formation from the pure elements: -238 meV/atom
- Relative energy among the computed polymorphs: 0.008 eV per atom

Lattice parameters (Å, degrees): 3.8768 3.8768 3.9051 90.00 90.00 90.00
Closest atoms and distances in Å follow each position.
Element x y z (fractional)
Mo (0.0000, 0.5000, 0.0000)  4 Mo 2.74, 4 Os 2.75, 4 Pt 2.75
Mo (0.5000, 0.0000, 0.0000)  4 Mo 2.74, 4 Os 2.75, 4 Pt 2.75
Os (0.0000, 0.0000, 0.5000)  4 Pt 2.74, 8 Mo 2.75
Pt (0.5000, 0.5000, 0.5000)  4 Os 2.74, 8 Mo 2.75

=====

(5)
Dy2AgRu: PBEsol geometry, meta-GGA SCAN.

Output
- Space-group type: No. 225
- Energy of formation from the pure elements: -440 meV/atom

Lattice parameters (Å, degrees): 4.8662 4.8662 4.8662 60.00 60.00 60.00
Closest atoms and distances in Å follow each position.
Element x y z (fractional)
Dy (0.2500, 0.2500, 0.2500)  4 Ru 2.98, 4 Ag 2.98
Dy (0.7500, 0.7500, 0.7500)  4 Ag 2.98, 4 Ru 2.98
Ag (0.0000, 0.0000, 0.0000)  8 Dy 2.98
Ru (0.5000, 0.5000, 0.5000)  8 Dy 2.98

=====

(6)
Tm: PBEsol geometry, meta-GGA SCAN.

Output
- Space-group type: No. 166
- Energy of formation from the pure elements: 3 meV/atom
- Relative energy among the computed polymorphs: 0.003 eV per atom

Lattice parameters (Å, degrees): 8.4698 8.4698 8.4698 23.46 23.46 23.46
Closest atoms and distances in Å follow each position.
Element x y z (fractional)
Tm (0.0000, 0.0000, 0.0000)  12 Tm 3.39-3.44
Tm (0.2221, 0.2221, 0.2221)  12 Tm 3.38-3.44
Tm (0.7779, 0.7779, 0.7779)  12 Tm 3.38-3.44

=====

(7)
ZnInAu2: PBEsol geometry, meta-GGA SCAN.

Output
- Space-group type: No. 123
- Energy of formation from the pure elements: -136 meV/atom

Lattice parameters (Å, degrees): 4.4012 4.4012 3.5878 90.00 90.00 90.00
Closest atoms and distances in Å follow each position.
Element x y z (fractional)
Zn (0.0000, 0.0000, 0.0000)  8 Au 2.84, 4 In 3.11
In (0.5000, 0.5000, 0.0000)  8 Au 2.84, 4 Zn 3.11
Au (0.0000, 0.5000, 0.5000)  4 In 2.84, 4 Zn 2.84, 4 Au 3.11
Au (0.5000, 0.0000, 0.5000)  4 In 2.84, 4 Zn 2.84, 4 Au 3.11

=====

(8)
Li5Fe2Ir2O10: PBEsol geometry, meta-GGA SCAN.

Output
- Formation energy (no corrections): -1.599 eV per atom
- Space-group type: No. 5

Lattice parameters (Å, degrees): 7.7958 7.7958 5.0239 95.60 95.60 143.71
Closest atoms and distances in Å follow each position.
Element x y z (fractional)
Li (0.0000, 0.0000, 0.0000)  6 O 2.01-2.09
Li (0.1015, 0.8985, 0.5000)  6 O 2.01-2.24
Li (0.2972, 0.7028, 0.5000)  6 O 2.04-2.11
Li (0.5146, 0.4854, 0.5000)  4 O 2.01-2.08
Li (0.9086, 0.0914, 0.5000)  4 O 2.01-2.11
Fe (0.1947, 0.8053, 0.0000)  6 O 1.86-1.95
Fe (0.8042, 0.1958, 0.0000)  6 O 1.88-1.94
Ir (0.3972, 0.6028, 0.0000)  6 O 2.01-2.04
Ir (0.6065, 0.3935, 0.0000)  6 O 2.00-2.03
O (0.0574, 0.4712, 0.7875)  2 Fe 1.92-1.95, 1 Ir 2.02, 1 Li 2.11
O (0.1243, 0.3388, 0.2348)  1 Fe 1.88, 3 Li 2.01-2.10, 1 Ir 2.01
O (0.2781, 0.2732, 0.7727)  4 Li 2.01-2.16, 2 Ir 2.02-2.04
O (0.3324, 0.1215, 0.2269)  1 Fe 1.86, 1 Ir 2.00, 3 Li 2.01-2.08
O (0.4647, 0.0462, 0.7830)  2 Fe 1.90-1.94, 1 Ir 2.03, 1 Li 2.04
O (0.5288, 0.9426, 0.2125)  2 Fe 1.92-1.95, 1 Ir 2.02, 1 Li 2.11
O (0.6612, 0.8757, 0.7652)  1 Fe 1.88, 3 Li 2.01-2.10, 1 Ir 2.01
O (0.7268, 0.7219, 0.2273)  4 Li 2.01-2.16, 2 Ir 2.02-2.04
O (0.8785, 0.6676, 0.7731)  1 Fe 1.86, 1 Ir 2.00, 3 Li 2.01-2.08
O (0.9538, 0.5353, 0.2170)  2 Fe 1.90-1.94, 1 Ir 2.03, 1 Li 2.04

=====

(9)
LiZn3Mo: PBEsol geometry, meta-GGA SCAN.

Output
- Space-group type: No. 221
- Energy of formation from the pure elements: 808 meV/atom

Lattice parameters (Å, degrees): 4.8492 4.8492 4.8492 90.00 90.00 90.00
Closest atoms and distances in Å follow each position.
Element x y z (fractional)
Li (0.0000, 0.0000, 0.0000)  12 Zn 3.43
Zn (0.0000, 0.5000, 0.5000)  2 Mo 2.42
Zn (0.5000, 0.0000, 0.5000)  2 Mo 2.42
Zn (0.5000, 0.5000, 0.0000)  2 Mo 2.42
Mo (0.5000, 0.5000, 0.5000)  6 Zn 2.42

=====

(10)
UGa5Pt: PBEsol geometry, meta-GGA SCAN.

Output
- Space-group type: No. 123
- Energy of formation from the pure elements: -477 meV/atom

Lattice parameters (Å, degrees): 4.2865 4.2865 6.7171 90.00 90.00 90.00
Closest atoms and distances in Å follow each position.
Element x y z (fractional)
U (0.0000, 0.0000, 0.0000)  12 Ga 2.90-3.03
Ga (0.0000, 0.5000, 0.2913)  2 Pt 2.56, 1 Ga 2.80
Ga (0.0000, 0.5000, 0.7087)  2 Pt 2.56, 1 Ga 2.80
Ga (0.5000, 0.0000, 0.2913)  2 Pt 2.56, 1 Ga 2.80
Ga (0.5000, 0.0000, 0.7087)  2 Pt 2.56, 1 Ga 2.80
Ga (0.5000, 0.5000, 0.0000)  8 Ga 2.90, 4 U 3.03
Pt (0.0000, 0.0000, 0.5000)  8 Ga 2.56

=====

(11)
Ba3InI: PBEsol geometry, meta-GGA SCAN.

Output
- Formation energy (no corrections): -0.403 eV per atom
- Space-group type: No. 221

Lattice parameters (Å, degrees): 6.3893 6.3893 6.3893 90.00 90.00 90.00
Closest atoms and distances in Å follow each position.
Element x y z (fractional)
Ba (0.0000, 0.0000, 0.5000)  2 I 3.19
Ba (0.0000, 0.5000, 0.0000)  2 I 3.19
Ba (0.5000, 0.0000, 0.0000)  2 I 3.19
In (0.5000, 0.5000, 0.5000)  12 Ba 4.52
I (0.0000, 0.0000, 0.0000)  6 Ba 3.19

=====

(12)
Li2Ni3WO8: PBEsol geometry, meta-GGA SCAN.

Output
- Formation energy (no corrections): -1.732 eV per atom
- Space-group type: No. 12
- Relative energy among the computed polymorphs: 0.046 eV per atom

Lattice parameters (Å, degrees): 5.8437 5.8437 5.8322 119.84 119.84 59.12
Closest atoms and distances in Å follow each position.
Element x y z (fractional)
Li (0.1357, 0.1357, 0.3940)  4 O 1.91-2.02
Li (0.8643, 0.8643, 0.6060)  4 O 1.91-2.02
Ni (0.0000, 0.5000, 0.0000)  6 O 1.90-2.10
Ni (0.5000, 0.0000, 0.0000)  6 O 1.90-2.10
Ni (0.5000, 0.5000, 0.0000)  6 O 1.89-2.03
W (0.5000, 0.5000, 0.5000)  6 O 1.92-1.97
O (0.2645, 0.2645, 0.2440)  1 Li 1.95, 1 W 1.97, 2 Ni 1.97
O (0.2672, 0.7295, 0.7353)  1 Li 1.91, 1 W 1.92, 2 Ni 2.03-2.10
O (0.2705, 0.7328, 0.2647)  1 Li 1.91, 1 W 1.92, 2 Ni 2.03-2.10
O (0.2754, 0.2754, 0.8170)  3 Ni 1.89-1.90, 1 Li 2.02
O (0.7246, 0.7246, 0.1830)  3 Ni 1.89-1.90, 1 Li 2.02
O (0.7295, 0.2672, 0.7353)  1 Li 1.91, 1 W 1.92, 2 Ni 2.03-2.10
O (0.7328, 0.2705, 0.2647)  1 Li 1.91, 1 W 1.92, 2 Ni 2.03-2.10
O (0.7355, 0.7355, 0.7560)  1 Li 1.95, 1 W 1.97, 2 Ni 1.97

=====

(13)
Ca2YBr: PBEsol geometry, meta-GGA SCAN.

Output
- Formation energy (no corrections): -0.433 eV per atom
- Space-group type: No. 6
- Relative energy among the computed polymorphs: 0.248 eV per atom

Lattice parameters (Å, degrees): 3.7291 5.5853 6.9595 90.00 105.60 90.00
Closest atoms and distances in Å follow each position.
Element x y z (fractional)
Ca (0.0000, 0.0000, 0.0000)  2 Br 3.03
Ca (0.3565, 0.5000, 0.7148)  3 Y 3.48-3.73, 6 Ca 3.73-3.86
Y (0.6174, 0.5000, 0.2337)  2 Br 2.91
Br (0.6793, 0.0000, 0.3558)  2 Y 2.91, 2 Ca 3.03

=====

(14)
SrRh3C: PBEsol geometry, meta-GGA SCAN.

Output
- Space-group type: No. 221
- Energy of formation from the pure elements: -87 meV/atom

Lattice parameters (Å, degrees): 4.1765 4.1765 4.1765 90.00 90.00 90.00
Closest atoms and distances in Å follow each position.
Element x y z (fractional)
Sr (0.0000, 0.0000, 0.0000)  12 Rh 2.95
Rh (0.0000, 0.5000, 0.5000)  2 C 2.09
Rh (0.5000, 0.0000, 0.5000)  2 C 2.09
Rh (0.5000, 0.5000, 0.0000)  2 C 2.09
C (0.5000, 0.5000, 0.5000)  6 Rh 2.09

=====

(15)
MgSb2P2: PBEsol geometry, meta-GGA SCAN.

Output
- Formation energy (no corrections): 0.175 eV per atom
- Space-group type: No. 164

Lattice parameters (Å, degrees): 4.8523 4.8523 5.8189 90.00 90.00 120.00
Closest atoms and distances in Å follow each position.
Element x y z (fractional)
Mg (0.0000, 0.0000, 0.0000)  6 P 2.99, 6 Sb 3.20
Sb (0.3333, 0.6667, 0.2640)  4 P 2.58-2.84
Sb (0.6667, 0.3333, 0.7360)  4 P 2.58-2.84
P (0.3333, 0.6667, 0.8203)  4 Sb 2.58-2.84
P (0.6667, 0.3333, 0.1797)  4 Sb 2.58-2.84

=====

(16)
MoPb: PBEsol geometry, meta-GGA SCAN.

Output
- Space-group type: No. 187
- Energy of formation from the pure elements: 824 meV/atom
- Relative energy among the computed polymorphs: 0.000 eV per atom

Lattice parameters (Å, degrees): 3.2310 3.2310 4.3045 90.00 90.00 120.00
Closest atoms and distances in Å follow each position.
Element x y z (fractional)
Mo (0.0000, 0.0000, 0.0000)  6 Pb 2.85
Pb (0.6667, 0.3333, 0.5000)  6 Mo 2.85

=====

(17)
MnAsBr2: PBEsol geometry, meta-GGA SCAN.

Output
- Formation energy (no corrections): 0.295 eV per atom
- Space-group type: No. 225
- Relative energy among the computed polymorphs: 0.219 eV per atom

Lattice parameters (Å, degrees): 4.8430 4.8430 4.8430 60.00 60.00 60.00
Closest atoms and distances in Å follow each position.
Element x y z (fractional)
Mn (0.0000, 0.0000, 0.0000)  8 Br 2.97
As (0.5000, 0.5000, 0.5000)  8 Br 2.97
Br (0.2500, 0.2500, 0.2500)  4 Mn 2.97, 4 As 2.97
Br (0.7500, 0.7500, 0.7500)  4 As 2.97, 4 Mn 2.97

=====

(18)
GaFe3Sb: PBEsol geometry, meta-GGA SCAN.

Output
- Formation energy (no corrections): 1.191 eV per atom
- Space-group type: No. 221

Lattice parameters (Å, degrees): 4.7059 4.7059 4.7059 90.00 90.00 90.00
Closest atoms and distances in Å follow each position.
Element x y z (fractional)
Ga (0.0000, 0.0000, 0.0000)  12 Fe 3.33
Fe (0.0000, 0.5000, 0.5000)  2 Sb 2.35
Fe (0.5000, 0.0000, 0.5000)  2 Sb 2.35
Fe (0.5000, 0.5000, 0.0000)  2 Sb 2.35
Sb (0.5000, 0.5000, 0.5000)  6 Fe 2.35

=====

(19)
Tl3PdW: PBEsol geometry, meta-GGA SCAN.

Output
- Space-group type: No. 221
- Energy of formation from the pure elements: 1126 meV/atom
- Relative energy among the computed polymorphs: 0.000 eV per atom

Lattice parameters (Å, degrees): 5.2304 5.2304 5.2304 90.00 90.00 90.00
Closest atoms and distances in Å follow each position.
Element x y z (fractional)
Tl (0.0000, 0.0000, 0.5000)  2 W 2.62
Tl (0.0000, 0.5000, 0.0000)  2 W 2.62
Tl (0.5000, 0.0000, 0.0000)  2 W 2.62
Pd (0.5000, 0.5000, 0.5000)  12 Tl 3.70
W (0.0000, 0.0000, 0.0000)  6 Tl 2.62

=====

(20)
NaCo2P: PBEsol geometry, meta-GGA SCAN.

Output
- Space-group type: No. 122
- Energy of formation from the pure elements: 407 meV/atom

Lattice parameters (Å, degrees): 5.3765 5.3765 5.3765 104.18 104.18 120.67
Closest atoms and distances in Å follow each position.
Element x y z (fractional)
Na (0.0000, 0.0000, 0.0000)  2 P 2.66, 8 Co 2.81-2.85
Na (0.7500, 0.2500, 0.5000)  2 P 2.66, 8 Co 2.81-2.85
Co (0.2120, 0.6250, 0.0870)  2 P 2.08
Co (0.3750, 0.4620, 0.5870)  2 P 2.08
Co (0.5380, 0.1250, 0.9130)  2 P 2.08
Co (0.8750, 0.7880, 0.4130)  2 P 2.08
P (0.2500, 0.7500, 0.5000)  4 Co 2.08
P (0.5000, 0.5000, 0.0000)  4 Co 2.08

=====

Number 1: density of states at the Fermi level 2.35 states/eV/f.u.. Number 2: density of states at the Fermi level 1.42 states/eV/f.u.. Number 3: density of states at the Fermi level 2.08 states/eV/f.u.. Number 4: density of states at the Fermi level 2.31 states/eV/f.u.. Number 5: density of states at the Fermi level 1.96 states/eV/f.u.. Number 6: density of states at the Fermi level 1.18 states/eV/f.u.. Number 7: density of states at the Fermi level 0.97 states/eV/f.u.. Number 8: density of states at the Fermi level 3.35 states/eV/f.u.. Number 9: density of states at the Fermi level 2.90 states/eV/f.u.. Number 10: density of states at the Fermi level 5.43 states/eV/f.u.. Number 11: density of states at the Fermi level 9.38 states/eV/f.u.. Number 12: density of states at the Fermi level 2.96 states/eV/f.u.. Number 13: density of states at the Fermi level 2.46 states/eV/f.u.. Number 14: density of states at the Fermi level 3.85 states/eV/f.u.. Number 15: density of states at the Fermi level 1.56 states/eV/f.u.. Number 16: density of states at the Fermi level 1.48 states/eV/f.u.. Number 17: density of states at the Fermi level 2.00 states/eV/f.u.. Number 18: density of states at the Fermi level 8.50 states/eV/f.u.. Number 19: density of states at the Fermi level 2.61 states/eV/f.u.. Number 20: density of states at the Fermi level 2.55 states/eV/f.u..